## ScIr2W (PBE)

Data for a geometry-optimized ScIr2W structure.

Values from the calculation:
The calculation puts the relative energy among the computed polymorphs at 147 meV/atom. The raw total energy comes out at -9.628 eV/atom. For the magnetic moment, the calculation gives 0.00 μB per atom.

Cell and atoms, written as extended XYZ:
```
4
Lattice="-4.2934 -1.7058 1.0531 -0.0674 -4.2458 -2.1026 3.2614 1.7551 2.9555" Properties=species:S:1:pos:R:3 pbc="T T T"
Ir 0.0000 0.0000 0.0000
Ir -2.1803 -2.9757 -0.5247
Sc -1.6062 -1.4633 1.7419
W 0.5068 -2.7332 0.1641
```